Entry 1:
{"formula": "CsLa2Pb", "functional": "PBE", "state": "relaxed", "lattice": [[0.0000, 4.0916, 4.0916], [4.0916, 0.0000, 4.0916], [4.0916, 4.0916, 0.0000]], "species": ["Cs", "La", "La", "Pb"], "frac_coords": [[0.0000, 0.0000, 0.0000], [0.2500, 0.2500, 0.2500], [0.7500, 0.7500, 0.7500], [0.5000, 0.5000, 0.5000]], "de_polymorph_mev_per_atom": 0, "formation_energy_kj_per_mol_atoms": 6}



Entry 2:
{"formula": "CaZn3IrPd", "functional": "PBE", "state": "relaxed", "lattice": [[4.1340, -5.5736, 0.0000], [4.1340, 5.5736, 0.0000], [0.0000, 0.0000, 5.2670]], "species": ["Ca", "Ca", "Zn", "Zn", "Zn", "Zn", "Zn", "Zn", "Ir", "Ir", "Pd", "Pd"], "frac_coords": [[0.1956, 0.8044, 0.7500], [0.8044, 0.1956, 0.2500], [0.2461, 0.2461, 0.0000], [0.2461, 0.2461, 0.5000], [0.3286, 0.6714, 0.2500], [0.6714, 0.3286, 0.7500], [0.7539, 0.7539, 0.0000], [0.7539, 0.7539, 0.5000], [0.4457, 0.5543, 0.7500], [0.5543, 0.4457, 0.2500], [0.0833, 0.9167, 0.2500], [0.9167, 0.0833, 0.7500]], "formation_energy_kj_per_mol_atoms": -24}



Entry 3:
{"formula": "TlBrCl", "functional": "PBE", "state": "relaxed", "lattice": [[4.4073, 0.0000, 0.0000], [-2.2037, 3.8169, 0.0000], [0.0000, 0.0000, 6.0959]], "species": ["Tl", "Br", "Cl"], "frac_coords": [[0.0000, 0.0000, 0.0000], [0.6667, 0.3333, 0.2699], [0.3333, 0.6667, 0.7657]], "formation_energy_uncorrected_ev_per_atom": -0.5519, "de_polymorph_mev_per_atom": 165}



Entry 4:
{"formula": "Ta4MoW3", "functional": "PBE", "state": "relaxed", "lattice": [[5.2953, 0.0000, 0.0000], [0.0000, 9.9123, 0.0000], [0.0000, 0.0000, 5.5204]], "species": ["Ta", "Ta", "Ta", "Ta", "Ta", "Ta", "Ta", "Ta", "Mo", "Mo", "W", "W", "W", "W", "W", "W"], "frac_coords": [[0.0000, 0.1254, 0.0000], [0.0000, 0.8734, 0.8082], [0.2504, 0.3692, 0.6533], [0.2496, 0.6308, 0.1533], [0.5000, 0.1266, 0.3082], [0.5000, 0.8746, 0.5000], [0.7496, 0.3692, 0.6533], [0.7504, 0.6308, 0.1533], [0.0000, 0.1199, 0.5006], [0.5000, 0.8801, 0.0006], [0.0000, 0.8790, 0.3072], [0.2500, 0.3561, 0.1529], [0.2500, 0.6439, 0.6529], [0.5000, 0.1210, 0.8072], [0.7500, 0.3561, 0.1529], [0.7500, 0.6439, 0.6529]], "de_polymorph_mev_per_atom": 661, "formation_energy_kj_per_mol_atoms": 51}



Entry 5:
{"formula": "Li2Pr3Pt3", "functional": "PBE", "state": "relaxed", "lattice": [[2.0252, -6.2675, 0.0000], [2.0252, 6.2675, 0.0000], [0.0000, 0.0000, 14.3706]], "species": ["Li", "Li", "Li", "Li", "Pr", "Pr", "Pr", "Pr", "Pr", "Pr", "Pt", "Pt", "Pt", "Pt", "Pt", "Pt"], "frac_coords": [[0.2291, 0.7709, 0.5721], [0.2291, 0.7709, 0.9279], [0.7709, 0.2291, 0.0721], [0.7709, 0.2291, 0.4279], [0.0684, 0.9316, 0.1117], [0.0684, 0.9316, 0.3883], [0.3412, 0.6588, 0.2500], [0.6588, 0.3412, 0.7500], [0.9316, 0.0684, 0.6117], [0.9316, 0.0684, 0.8883], [0.3375, 0.6625, 0.7500], [0.3993, 0.6007, 0.0484], [0.3993, 0.6007, 0.4516], [0.6007, 0.3993, 0.5484], [0.6007, 0.3993, 0.9516], [0.6625, 0.3375, 0.2500]], "de_polymorph_mev_per_atom": 0, "formation_energy_kj_per_mol_atoms": -81}



Entry 6:
{"formula": "K2Tl6InGa", "functional": "PBE", "state": "relaxed", "lattice": [[3.9350, 2.2719, 13.3369], [-3.9350, 2.2719, 13.3369], [0.0000, -4.5437, 13.3369]], "species": ["K", "K", "K", "K", "Tl", "Tl", "Tl", "Tl", "Tl", "Tl", "Tl", "Tl", "Tl", "Tl", "Tl", "Tl", "In", "In", "Ga", "Ga"], "frac_coords": [[0.1049, 0.1049, 0.1049], [0.2787, 0.2787, 0.2787], [0.7213, 0.7213, 0.7213], [0.8951, 0.8951, 0.8951], [0.0829, 0.6629, 0.6629], [0.2208, 0.2208, 0.6454], [0.2208, 0.6454, 0.2208], [0.3371, 0.3371, 0.9171], [0.3371, 0.9171, 0.3371], [0.3546, 0.7792, 0.7792], [0.6454, 0.2208, 0.2208], [0.6629, 0.0829, 0.6629], [0.6629, 0.6629, 0.0829], [0.7792, 0.3546, 0.7792], [0.7792, 0.7792, 0.3546], [0.9171, 0.3371, 0.3371], [0.4251, 0.4251, 0.4251], [0.5749, 0.5749, 0.5749], [0.0000, 0.0000, 0.0000], [0.5000, 0.5000, 0.5000]], "formation_energy_kj_per_mol_atoms": 0}



Entry 7:
{"formula": "Rb2SeS2", "functional": "PBE", "state": "relaxed", "lattice": [[6.6387, 0.0000, 0.0000], [1.6573, 6.4304, 0.0000], [2.7929, 2.1483, 7.8217]], "species": ["Rb", "Rb", "Rb", "Rb", "Se", "Se", "S", "S", "S", "S"], "frac_coords": [[0.2059, 0.2244, 0.1409], [0.2246, 0.2075, 0.6404], [0.7754, 0.7925, 0.3596], [0.7941, 0.7756, 0.8591], [0.4003, 0.5996, 0.2496], [0.5997, 0.4004, 0.7504], [0.2374, 0.7619, 0.0370], [0.2377, 0.7630, 0.4624], [0.7623, 0.2370, 0.5376], [0.7626, 0.2381, 0.9630]], "formation_energy_uncorrected_ev_per_atom": -0.7807, "de_polymorph_mev_per_atom": 0}



Entry 8:
{"formula": "Zr2ScSb", "functional": "PBE", "state": "relaxed", "lattice": [[2.0165, -2.5779, 0.0000], [2.0165, 2.5779, 0.0000], [0.0000, 0.0000, 9.0593]], "species": ["Zr", "Zr", "Sc", "Sb"], "frac_coords": [[0.0000, 0.0000, 0.2392], [0.0000, 0.0000, 0.7608], [0.5000, 0.5000, 0.5000], [0.5000, 0.5000, 0.0000]], "formation_energy_uncorrected_ev_per_atom": -0.1956}



Entry 9:
{"formula": "PaZnSi", "functional": "PBE", "state": "relaxed", "lattice": [[2.1441, -7.7544, 0.0000], [2.1441, 7.7544, 0.0000], [0.0000, 0.0000, 3.6320]], "species": ["Pa", "Pa", "Zn", "Zn", "Si", "Si"], "frac_coords": [[0.0969, 0.9031, 0.7500], [0.9031, 0.0969, 0.2500], [0.2885, 0.7115, 0.7500], [0.7115, 0.2885, 0.2500], [0.4514, 0.5486, 0.7500], [0.5486, 0.4514, 0.2500]], "formation_energy_uncorrected_ev_per_atom": -0.1779}



Entry 10:
{"formula": "CaYTa2", "functional": "PBE", "state": "relaxed", "lattice": [[-2.1113, 2.1189, 5.1429], [2.1113, -2.1189, 5.1429], [2.1113, 2.1189, -5.1429]], "species": ["Ca", "Y", "Ta", "Ta"], "frac_coords": [[0.0000, 0.0000, 0.0000], [0.5000, 0.5000, 0.0000], [0.2500, 0.7500, 0.5000], [0.7500, 0.2500, 0.5000]], "de_polymorph_mev_per_atom": 399, "formation_energy_kj_per_mol_atoms": 65}



Entry 11:
{"formula": "MnTePb2", "functional": "PBE", "state": "relaxed", "lattice": [[4.1085, 0.0000, 0.0000], [0.0000, 4.1085, 0.0000], [0.0000, 0.0000, 6.5262]], "species": ["Mn", "Te", "Pb", "Pb"], "frac_coords": [[0.0000, 0.0000, 0.0000], [0.0000, 0.0000, 0.5000], [0.5000, 0.5000, 0.2390], [0.5000, 0.5000, 0.7610]], "formation_energy_uncorrected_ev_per_atom": 0.2905}



Entry 12:
{"formula": "InCuSb2", "functional": "PBE", "state": "relaxed", "lattice": [[4.8127, 0.0000, 0.0000], [0.0000, 4.8127, 0.0000], [0.0000, 0.0000, 4.0843]], "species": ["In", "Cu", "Sb", "Sb"], "frac_coords": [[0.0000, 0.0000, 0.0000], [0.5000, 0.5000, 0.0000], [0.0000, 0.5000, 0.5000], [0.5000, 0.0000, 0.5000]], "formation_energy_uncorrected_ev_per_atom": 0.3187}



Entry 13:
{"formula": "Pm4S3F7", "functional": "PBE", "state": "relaxed", "lattice": [[7.8469, -1.9438, 0.0000], [7.8469, 1.9438, 0.0000], [-6.9296, 0.0000, 7.8612]], "species": ["Pm", "Pm", "Pm", "Pm", "S", "S", "S", "F", "F", "F", "F", "F", "F", "F"], "frac_coords": [[0.1110, 0.1110, 0.4308], [0.3449, 0.3449, 0.9683], [0.6551, 0.6551, 0.0317], [0.8890, 0.8890, 0.5692], [0.0000, 0.0000, 0.0000], [0.2837, 0.2837, 0.2905], [0.7163, 0.7163, 0.7095], [0.0000, 0.0000, 0.5000], [0.1711, 0.1711, 0.9167], [0.3123, 0.3123, 0.6061], [0.4897, 0.4897, 0.2679], [0.5103, 0.5103, 0.7321], [0.6877, 0.6877, 0.3939], [0.8289, 0.8289, 0.0833]], "formation_energy_uncorrected_ev_per_atom": -3.2155}



Entry 14:
{"formula": "Ho12TmCo6", "functional": "PBE", "state": "relaxed", "lattice": [[-4.8537, 4.8537, 4.8537], [4.8537, -4.8537, 4.8537], [4.8537, 4.8537, -4.8537]], "species": ["Ho", "Ho", "Ho", "Ho", "Ho", "Ho", "Ho", "Ho", "Ho", "Ho", "Ho", "Ho", "Tm", "Co", "Co", "Co", "Co", "Co", "Co"], "frac_coords": [[0.1146, 0.3083, 0.8062], [0.1938, 0.5021, 0.3083], [0.1938, 0.8854, 0.6917], [0.3083, 0.1938, 0.5021], [0.3083, 0.8062, 0.1146], [0.4979, 0.6917, 0.8062], [0.5021, 0.3083, 0.1938], [0.6917, 0.1938, 0.8854], [0.6917, 0.8062, 0.4979], [0.8062, 0.1146, 0.3083], [0.8062, 0.4979, 0.6917], [0.8854, 0.6917, 0.1938], [0.0000, 0.0000, 0.0000], [0.1138, 0.5000, 0.6138], [0.3862, 0.8862, 0.5000], [0.5000, 0.3862, 0.8862], [0.5000, 0.6138, 0.1138], [0.6138, 0.1138, 0.5000], [0.8862, 0.5000, 0.3862]], "formation_energy_kj_per_mol_atoms": -14}



Entry 15:
{"formula": "CuRuCl2", "functional": "PBE", "state": "relaxed", "lattice": [[7.6682, -1.5981, 0.0000], [7.6682, 1.5981, 0.0000], [-0.5708, 0.0000, 3.4673]], "species": ["Cu", "Ru", "Cl", "Cl"], "frac_coords": [[0.0000, 0.0000, 0.0000], [0.5669, 0.5669, 0.5519], [0.1773, 0.1773, 0.6505], [0.4112, 0.4112, 0.3630]], "formation_energy_uncorrected_ev_per_atom": 0.0346, "de_polymorph_mev_per_atom": 3}



Entry 16:
{"formula": "BaNiIr2", "functional": "PBE", "state": "relaxed", "lattice": [[0.0000, 3.3556, 3.3556], [3.3556, 0.0000, 3.3556], [3.3556, 3.3556, 0.0000]], "species": ["Ba", "Ni", "Ir", "Ir"], "frac_coords": [[0.0000, 0.0000, 0.0000], [0.7500, 0.7500, 0.7500], [0.2500, 0.2500, 0.2500], [0.5000, 0.5000, 0.5000]], "formation_energy_kj_per_mol_atoms": 82}



Entry 17:
{"formula": "SrCaPb2", "functional": "PBE", "state": "relaxed", "lattice": [[4.9717, 0.0000, 0.0000], [0.0000, 4.6284, 0.0000], [-2.4762, 0.0000, 6.0555]], "species": ["Sr", "Ca", "Pb", "Pb"], "frac_coords": [[0.0000, 0.0000, 0.0000], [0.7382, 0.5000, 0.4716], [0.2794, 0.0000, 0.5534], [0.4515, 0.5000, 0.9033]], "formation_energy_kj_per_mol_atoms": -50}



Entry 18:
{"formula": "TbMg2Bi", "functional": "PBE", "state": "relaxed", "lattice": [[4.5789, 0.0000, 0.0000], [0.0000, 4.5789, 0.0000], [0.0000, 0.0000, 4.9762]], "species": ["Tb", "Mg", "Mg", "Bi"], "frac_coords": [[0.0000, 0.0000, 0.0000], [0.0000, 0.5000, 0.5000], [0.5000, 0.0000, 0.5000], [0.5000, 0.5000, 0.0000]], "de_polymorph_mev_per_atom": 0, "formation_energy_kj_per_mol_atoms": -34}



Entry 19:
{"formula": "Ho5Pu3N8", "functional": "PBE", "state": "relaxed", "lattice": [[3.4625, 1.9991, 5.6271], [-3.4625, 1.9991, 5.6271], [0.0000, -3.9982, 5.6271]], "species": ["Ho", "Ho", "Ho", "Ho", "Ho", "Pu", "Pu", "Pu", "N", "N", "N", "N", "N", "N", "N", "N"], "frac_coords": [[0.0000, 0.0000, 0.0000], [0.0000, 0.5000, 0.5000], [0.5000, 0.0000, 0.5000], [0.5000, 0.5000, 0.0000], [0.5000, 0.5000, 0.5000], [0.0000, 0.0000, 0.5000], [0.0000, 0.5000, 0.0000], [0.5000, 0.0000, 0.0000], [0.2452, 0.7498, 0.7498], [0.2485, 0.2485, 0.2485], [0.2502, 0.2502, 0.7548], [0.2502, 0.7548, 0.2502], [0.7498, 0.2452, 0.7498], [0.7498, 0.7498, 0.2452], [0.7515, 0.7515, 0.7515], [0.7548, 0.2502, 0.2502]], "formation_energy_uncorrected_ev_per_atom": -1.5496}



Entry 20:
{"formula": "BaBe4Br", "functional": "PBE", "state": "relaxed", "lattice": [[0.0000, 3.9716, 3.9716], [3.9716, 0.0000, 3.9716], [3.9716, 3.9716, 0.0000]], "species": ["Ba", "Be", "Be", "Be", "Be", "Br"], "frac_coords": [[0.0000, 0.0000, 0.0000], [0.2073, 0.5976, 0.5976], [0.5976, 0.2073, 0.5976], [0.5976, 0.5976, 0.2073], [0.5976, 0.5976, 0.5976], [0.2500, 0.2500, 0.2500]], "formation_energy_uncorrected_ev_per_atom": 0.7247}



Number 1: V 34.2 Å³/atom. Number 2: V 20.2 Å³/atom. Number 3: V 34.2 Å³/atom. Number 4: V 18.1 Å³/atom. Number 5: V 22.8 Å³/atom. Number 6: V 35.8 Å³/atom. Number 7: V 33.4 Å³/atom. Number 8: V 23.5 Å³/atom. Number 9: V 20.1 Å³/atom. Number 10: V 23.0 Å³/atom. Number 11: V 27.5 Å³/atom. Number 12: V 23.7 Å³/atom. Number 13: V 17.1 Å³/atom. Number 14: V 24.1 Å³/atom. Number 15: V 21.2 Å³/atom. Number 16: V 18.9 Å³/atom. Number 17: V 34.8 Å³/atom. Number 18: V 26.1 Å³/atom. Number 19: V 14.6 Å³/atom. Number 20: V 20.9 Å³/atom.